LiUBe17: relaxed, GGA-PBE.

Structure (CIF):
```
data_LiUBe17
_chemical_formula_sum 'Li3 U3 Be51'
_symmetry_space_group_name_H-M 'R 3 m'
_symmetry_Int_Tables_number 160
_symmetry_space_group_name_Hall 'R 3 -2"'
_cell_length_a 7.6235
_cell_length_b 7.6235
_cell_length_c 11.0443
_cell_angle_alpha 90.00
_cell_angle_beta 90.00
_cell_angle_gamma 120.00
loop_
_atom_site_label
_atom_site_fract_x
_atom_site_fract_y
_atom_site_fract_z
_atom_site_occupancy
Li1 0.0000 0.0000 0.0000 1
U1 0.0000 0.0000 0.6827 1
Be1 0.0000 0.0000 0.2411 1
Be2 0.0000 0.0000 0.4360 1
Be3 0.0017 0.5008 0.1804 1
Be4 0.0484 0.3782 0.0033 1
Be5 0.1722 0.3445 0.1745 1
Be6 0.1739 0.3478 0.8241 1
```

Uncorrected energy, eV per atom: -3.9814
Energy of formation from the pure elements, eV/f.u.: 0.90

=====

LiYCl2: relaxed, GGA-PBE.

Structure (CIF):
```
data_LiYCl2
_chemical_formula_sum 'Li3 Y3 Cl6'
_symmetry_space_group_name_H-M 'R -3 m'
_symmetry_Int_Tables_number 166
_symmetry_space_group_name_Hall '-R 3 2"'
_cell_length_a 3.5251
_cell_length_b 3.5251
_cell_length_c 22.3131
_cell_angle_alpha 90.00
_cell_angle_beta 90.00
_cell_angle_gamma 120.00
loop_
_atom_site_label
_atom_site_fract_x
_atom_site_fract_y
_atom_site_fract_z
_atom_site_occupancy
Li1 0.0000 0.0000 0.0000 1
Y1 0.0000 0.0000 0.5000 1
Cl1 0.0000 0.0000 0.2656 1
```

E_form (uncorrected), eV per formula unit: -6.0
Uncorrected energy, eV per atom: -4.5234
Energy relative to the lowest polymorph listed for this composition, meV per atom: 0

=====

Pm5HoSe6: relaxed, GGA-PBE.

Structure (CIF):
```
data_Pm5HoSe6
_chemical_formula_sum 'Pm10 Ho2 Se12'
_symmetry_space_group_name_H-M 'C 1 2/m 1'
_symmetry_Int_Tables_number 12
_cell_length_a 7.230
_cell_length_b 12.546
_cell_length_c 7.216
_cell_angle_alpha 90.00
_cell_angle_beta 109.58
_cell_angle_gamma 90.00
loop_
_symmetry_equiv_pos_as_xyz
'x,y,z'
'-x,-y,-z'
'-x,y,-z'
'x,-y,z'
'x+1/2,y+1/2,z'
'-x+1/2,-y+1/2,-z'
'-x+1/2,y+1/2,-z'
'x+1/2,-y+1/2,z'
loop_
_atom_site_label
_atom_site_fract_x
_atom_site_fract_y
_atom_site_fract_z
_atom_site_occupancy
Pm1 0.000 0.000 0.000 1
Pm2 0.000 0.168 0.500 1
Pm3 0.000 0.328 0.000 1
Ho1 0.000 0.500 0.500 1
Se1 0.242 0.500 0.252 1
Se2 0.244 0.338 0.744 1
```

E_form (uncorrected), eV per formula unit: -21.8
Uncorrected energy, eV per atom: -5.9215